Material: CrHgHPd2
Method: DFT, PBE-GGA
State: optimized geometry

Lattice parameters (Å, degrees): 4.1013 4.1013 4.0981 90.00 90.00 90.00
With the nearest neighbours (Å) after each atom.
Fractional positions:
1 Hg 0.5000 0.5000 0.5000  8 Pd 2.90, 4 Cr 2.90
2 H 0.0000 0.0000 0.0000  2 Cr 2.05, 4 Pd 2.05
3 Pd 0.5000 0.0000 0.0000  2 H 2.05
4 Pd 0.0000 0.5000 0.0000  2 H 2.05
5 Cr 0.0000 0.0000 0.5000  2 H 2.05

symmetry = P4/mmm (123)
crystal system = tetragonal
E_tot = -4.787 eV per atom
magnetization = 4.47 μB/f.u.